DFT (GGA-PBE) results for a geometry-optimized CeH2Rh3 structure.

a b c (Å): 2.875 5.411 5.411
angles (deg): 120.00 90.00 90.00
Last column: magnetic moment on the atom in μB.
Sites, in units of the cell vectors:
Ce 0.000 0.000 0.000  0.41
H 0.000 0.333 0.667  0.00
H 0.000 0.667 0.333  0.00
Rh 0.500 0.500 0.000  -0.03
Rh 0.500 0.500 0.500  -0.03
Rh 0.500 0.000 0.500  -0.03

DFT (GGA-PBE) results for a geometry-optimized Ce7Th2Sn2 structure.

a b c (Å): 4.708 9.152 9.152
angles (deg): 60.02 75.10 75.10
Last column: magnetic moment on the atom in μB.
Sites, in units of the cell vectors:
Ce 0.832 0.048 0.289  0.55
Ce 0.830 0.536 0.804  0.45
Ce 0.500 0.907 0.093  0.68
Ce 0.662 0.462 0.215  0.38
Ce 0.338 0.785 0.538  0.38
Ce 0.168 0.711 0.952  0.55
Ce 0.170 0.196 0.464  0.45
Th 0.000 0.625 0.375  -0.02
Th 0.500 0.339 0.661  0.00
Sn 0.678 0.944 0.699  -0.01
Sn 0.322 0.301 0.056  -0.01

DFT (GGA-PBE) results for a geometry-optimized Ca2NpTcN4 structure.

The value obtained for the raw formation energy is -83.9 kJ/mol of atoms.

a b c (Å): 3.374 5.492 5.872
angles (deg): 108.59 90.00 90.00
Last column: magnetic moment on the atom in μB.
Sites, in units of the cell vectors:
Ca 0.500 0.000 0.500  -0.01
Ca 0.000 0.500 0.500  0.00
Np 0.500 0.500 0.000  1.18
Tc 0.000 0.000 0.000  0.30
N 0.500 0.239 0.210  -0.02
N 0.500 0.761 0.790  -0.02
N 0.000 0.264 0.784  -0.05
N 0.000 0.736 0.216  -0.05

DFT (GGA-PBE) results for a geometry-optimized InAgSb structure.

The value obtained for the raw formation energy is 10.7 kJ/mol of atoms.

a b c (Å): 5.702 5.702 5.702
angles (deg): 146.77 133.73 58.15
Sites, in units of the cell vectors:
Sb 0.657 0.657 0.000
Ag 0.003 0.003 0.000
In 0.340 0.340 0.000

DFT (GGA-PBE) results for a geometry-optimized Ce2ScU2Ru5 structure.

a b c (Å): 3.494 10.582 10.582
angles (deg): 90.00 90.00 90.00
Last column: magnetic moment on the atom in μB.
Sites, in units of the cell vectors:
Ce 0.000 0.667 0.167  0.39
Ce 0.000 0.333 0.833  0.39
Ce 0.000 0.167 0.333  0.39
Ce 0.000 0.833 0.667  0.39
Sc 0.000 0.000 0.000  0.01
Sc 0.000 0.500 0.500  0.01
U 0.000 0.152 0.652  0.32
U 0.000 0.848 0.348  0.32
U 0.000 0.652 0.848  0.32
U 0.000 0.348 0.152  0.32
Ru 0.500 0.196 0.061  -0.05
Ru 0.500 0.804 0.939  -0.05
Ru 0.500 0.061 0.804  -0.05
Ru 0.500 0.696 0.439  -0.05
Ru 0.500 0.939 0.196  -0.05
Ru 0.500 0.304 0.561  -0.05
Ru 0.500 0.561 0.696  -0.05
Ru 0.500 0.439 0.304  -0.05
Ru 0.500 0.500 0.000  -0.07
Ru 0.500 0.000 0.500  -0.07

DFT (GGA-PBE) results for a geometry-optimized Tb4AsSe3 structure.

The value obtained for the raw formation energy is -169.8 kJ/mol of atoms.

a b c (Å): 5.802 5.802 5.802
angles (deg): 90.00 90.00 90.00
Sites, in units of the cell vectors:
Tb 0.500 0.000 0.000
Tb 0.000 0.500 0.000
Tb 0.000 0.000 0.500
Tb 0.500 0.500 0.500
As 0.000 0.000 0.000
Se 0.000 0.500 0.500
Se 0.500 0.000 0.500
Se 0.500 0.500 0.000

DFT (GGA-PBE) results for a geometry-optimized Ni2Ir3 structure.

a b c (Å): 4.320 4.320 4.320
angles (deg): 84.05 95.95 84.05
Sites, in units of the cell vectors:
Ni 0.321 0.679 0.321
Ni 0.679 0.321 0.679
Ir 0.766 0.766 0.000
Ir 0.234 0.000 0.766
Ir 0.000 0.234 0.234

DFT (GGA-PBE) results for a geometry-optimized Pu3SnPd3 structure.

a b c (Å): 3.912 9.052 9.052
angles (deg): 120.00 90.00 90.00
Last column: magnetic moment on the atom in μB.
Sites, in units of the cell vectors:
Pu 0.750 0.590 0.548  1.46
Pu 0.750 0.452 0.042  1.46
Pu 0.750 0.958 0.410  1.46
Pu 0.250 0.410 0.452  1.46
Pu 0.250 0.548 0.958  1.46
Pu 0.250 0.042 0.590  1.46
Sn 0.250 0.667 0.333  -0.07
Sn 0.750 0.333 0.667  -0.07
Pd 0.250 0.773 0.807  0.01
Pd 0.250 0.193 0.966  0.01
Pd 0.250 0.034 0.227  0.01
Pd 0.750 0.227 0.193  0.01
Pd 0.750 0.807 0.034  0.01
Pd 0.750 0.966 0.773  0.01

DFT (GGA-PBE) results for a geometry-optimized K2FePt structure.

a b c (Å): 5.264 3.032 6.499
angles (deg): 62.38 90.00 90.00
Last column: magnetic moment on the atom in μB.
Sites, in units of the cell vectors:
Fe 0.500 0.750 0.750  2.96
K 0.000 0.002 0.005  -0.02
K 0.000 0.498 0.495  -0.02
Pt 0.500 0.250 0.250  0.13

DFT (GGA-PBE) results for a geometry-optimized Y3Cu2Ge4 structure.

a b c (Å): 4.178 5.781 8.194
angles (deg): 101.89 90.00 111.18
Sites, in units of the cell vectors:
Y 0.661 0.321 0.669
Y 0.000 0.000 0.000
Y 0.339 0.679 0.331
Cu 0.612 0.224 0.286
Cu 0.388 0.776 0.714
Ge 0.712 0.424 0.060
Ge 0.288 0.576 0.940
Ge 0.937 0.873 0.613
Ge 0.063 0.127 0.387

DFT (GGA-PBE) results for a geometry-optimized NaAc4PmSe8 structure.

The value obtained for the raw formation energy is -176.8 kJ/mol of atoms.

a b c (Å): 9.137 9.137 8.974
angles (deg): 59.40 59.40 60.00
Sites, in units of the cell vectors:
Na 0.376 0.376 0.873
Ac 0.623 0.623 0.131
Ac 0.004 0.490 0.503
Ac 0.490 0.004 0.503
Ac 0.004 0.004 0.503
Pm 0.005 0.005 0.984
Se 0.233 0.780 0.754
Se 0.780 0.233 0.754
Se 0.233 0.233 0.754
Se 0.242 0.242 0.274
Se 0.766 0.220 0.248
Se 0.220 0.766 0.248
Se 0.766 0.766 0.248
Se 0.759 0.759 0.724

DFT (GGA-PBE) results for a geometry-optimized TaRhSe2 structure.

The value obtained for the raw formation energy is -22.6 kJ/mol of atoms.

a b c (Å): 8.557 8.557 8.557
angles (deg): 22.07 22.07 22.07
Sites, in units of the cell vectors:
Rh 0.000 0.000 0.000
Se 0.904 0.904 0.904
Se 0.096 0.096 0.096
Ta 0.500 0.500 0.500

no.,uncorrected energy (eV/atom)
1,-5.99
2,-5.99
3,-8.45
4,-3.13
5,-8.98
6,-5.96
7,-7.03
8,-8.91
9,-3.44
10,-5.81
11,-5.43
12,-6.78